(1)
Al2ZnIr3: relaxed, PBE-GGA.

Lattice parameters (Å, degrees): 3.0142 3.0142 9.0932 90.00 90.00 90.00
Closest atoms and distances in Å follow each position.
Fractional coordinates of all 6 atoms:
Al  0.0000  0.0000  0.1693  8 Ir 2.57-2.63
Al  0.0000  0.0000  0.8307  8 Ir 2.57-2.63
Zn  0.0000  0.0000  0.5000  8 Ir 2.65
Ir  0.5000  0.5000  0.0000  8 Al 2.63
Ir  0.5000  0.5000  0.3277  4 Al 2.57, 4 Zn 2.65
Ir  0.5000  0.5000  0.6723  4 Al 2.57, 4 Zn 2.65

Computed properties:
- Crystal system: tetragonal
- Spin magnetization: 0.001 μB/atom
- Calculated density: 14.0 g/cm3
- Total DFT energy (no corrections): -6.626 eV/atom
- V: 82.6 Å³/f.u.

---

(2)
Er3CoNi2Sn3: relaxed, PBE-GGA.

Lattice parameters (Å, degrees): 7.3274 7.3274 3.7746 90.00 90.00 120.00
Closest atoms and distances in Å follow each position.
Fractional coordinates of all 9 atoms:
Er  0.0000  0.4056  0.0000  4 Ni 2.92, 1 Co 2.97, 6 Sn 3.10-3.22
Er  0.4056  0.0000  0.0000  4 Ni 2.92, 1 Co 2.97, 6 Sn 3.10-3.22
Er  0.5944  0.5944  0.0000  4 Ni 2.92, 1 Co 2.97, 6 Sn 3.10-3.22
Co  0.0000  0.0000  0.0000  6 Sn 2.68, 3 Er 2.97
Ni  0.3333  0.6667  0.5000  3 Sn 2.75, 6 Er 2.92
Ni  0.6667  0.3333  0.5000  3 Sn 2.75, 6 Er 2.92
Sn  0.0000  0.7409  0.5000  2 Co 2.68, 2 Ni 2.75
Sn  0.2591  0.2591  0.5000  2 Co 2.68, 2 Ni 2.75
Sn  0.7409  0.0000  0.5000  2 Co 2.68, 2 Ni 2.75

Computed properties:
- Crystal system: hexagonal
- Spin magnetization: 0.000 μB/atom
- Calculated density: 9.8 g/cm3
- Total DFT energy (no corrections): -5.512 eV/atom
- V: 175.5 Å³/f.u.

---

(3)
Pr2Nd2CIF4: relaxed, PBE-GGA.

Lattice parameters (Å, degrees): 7.4002 7.4002 8.7761 123.66 123.66 29.95
Closest atoms and distances in Å follow each position.
Fractional coordinates of all 10 atoms:
Pr  0.0295  0.0295  0.3365  2 F 2.50-2.51, 2 C 2.57
Pr  0.9705  0.9705  0.6635  2 F 2.50-2.51, 2 C 2.57
Nd  0.2942  0.2942  0.2545  5 F 2.43-2.58, 1 C 2.45
Nd  0.7058  0.7058  0.7455  5 F 2.43-2.58, 1 C 2.45
C  0.5000  0.5000  0.5000  2 Nd 2.45, 4 Pr 2.57
I  0.5000  0.5000  0.0000  4 Pr 3.34, 2 F 3.36
F  0.1829  0.1829  0.8965  3 Nd 2.45-2.58, 1 Pr 2.51, 2 F 2.58
F  0.2353  0.2353  0.6060  2 Nd 2.43, 1 Pr 2.50
F  0.7647  0.7647  0.3940  2 Nd 2.43, 1 Pr 2.50
F  0.8171  0.8171  0.1035  3 Nd 2.45-2.58, 1 Pr 2.51, 2 F 2.58

Computed properties:
- Crystal system: monoclinic
- Spin magnetization: 0.000 μB/atom
- Calculated density: 6.6 g/cm3
- Total DFT energy (no corrections): -6.070 eV/atom
- V: 196.5 Å³/f.u.

---

(4)
RbHoAsSe3: relaxed, PBE-GGA.

Lattice parameters (Å, degrees): 7.8792 7.8792 11.5891 90.00 90.00 147.90
Closest atoms and distances in Å follow each position.
Fractional coordinates of all 12 atoms:
Rb  0.2267  0.7733  0.7500  2 Se 3.50, 2 As 3.60
Rb  0.7733  0.2267  0.2500  2 Se 3.50, 2 As 3.60
Ho  0.5000  0.5000  0.0000  6 Se 2.88-2.90
Ho  0.5000  0.5000  0.5000  6 Se 2.88-2.90
As  0.0837  0.9163  0.2500  4 Se 2.54-2.73
As  0.9163  0.0837  0.7500  4 Se 2.54-2.73
Se  0.1233  0.8767  0.0202  1 As 2.73, 2 Ho 2.88
Se  0.1233  0.8767  0.4798  1 As 2.73, 2 Ho 2.88
Se  0.4971  0.5029  0.2500  2 As 2.54
Se  0.5029  0.4971  0.7500  2 As 2.54
Se  0.8767  0.1233  0.5202  1 As 2.73, 2 Ho 2.88
Se  0.8767  0.1233  0.9798  1 As 2.73, 2 Ho 2.88

Computed properties:
- Crystal system: orthorhombic
- Spin magnetization: 0.001 μB/atom
- Calculated density: 4.9 g/cm3
- Total DFT energy (no corrections): -4.456 eV/atom
- V: 191.2 Å³/f.u.